Record 1
An optimized crystal structure of SrBrOF2, computed with PBEsol.

Structure (CIF):
```
data_SrBrOF2
_chemical_formula_sum 'Sr1 Br1 O1 F2'
_cell_length_a 4.6847
_cell_length_b 4.6847
_cell_length_c 4.0114
_cell_angle_alpha 90.00
_cell_angle_beta 90.00
_cell_angle_gamma 90.00
_space_group_name_H-M_alt 'P 4/m m m'
_space_group_IT_number 123
_space_group_name_Hall '-P 4 2'
loop_
_atom_site_label
_atom_site_fract_x
_atom_site_fract_y
_atom_site_fract_z
_atom_site_occupancy
Sr1 0.0000 0.0000 0.0000 1
Br1 0.5000 0.5000 0.5000 1
O1 0.5000 0.5000 0.0000 1
F1 0.0000 0.5000 0.5000 1
```

Results
- DOS(E_F): 0.477 states/eV per atom
- E_tot: -19.75 eV per cell

Record 2
An optimized crystal structure of SrBrOF2, computed with PBEsol.

Structure (CIF):
```
data_SrBrOF2
_chemical_formula_sum 'Sr1 Br1 O1 F2'
_cell_length_a 4.5992
_cell_length_b 4.5992
_cell_length_c 5.1338
_cell_angle_alpha 90.00
_cell_angle_beta 90.00
_cell_angle_gamma 90.00
_space_group_name_H-M_alt 'P 4/m m m'
_space_group_IT_number 123
_space_group_name_Hall '-P 4 2'
loop_
_atom_site_label
_atom_site_fract_x
_atom_site_fract_y
_atom_site_fract_z
_atom_site_occupancy
Sr1 0.0000 0.0000 0.0000 1
Br1 0.5000 0.5000 0.5000 1
O1 0.0000 0.0000 0.5000 1
F1 0.0000 0.5000 0.0000 1
```

Results
- DOS(E_F): 0.565 states/eV per atom
- E_tot: -19.70 eV per cell

Record 3
An optimized crystal structure of TaBrOF2, computed with PBEsol.

Structure (CIF):
```
data_TaBrOF2
_chemical_formula_sum 'Ta1 Br1 O1 F2'
_cell_length_a 4.1657
_cell_length_b 4.1657
_cell_length_c 3.8840
_cell_angle_alpha 90.00
_cell_angle_beta 90.00
_cell_angle_gamma 90.00
_space_group_name_H-M_alt 'P 4/m m m'
_space_group_IT_number 123
_space_group_name_Hall '-P 4 2'
loop_
_atom_site_label
_atom_site_fract_x
_atom_site_fract_y
_atom_site_fract_z
_atom_site_occupancy
Ta1 0.0000 0.0000 0.0000 1
Br1 0.5000 0.5000 0.5000 1
O1 0.0000 0.0000 0.5000 1
F1 0.0000 0.5000 0.0000 1
```

Results
- DOS(E_F): 0.912 states/eV per atom
- E_tot: -33.19 eV per cell

Record 4
An optimized crystal structure of TaBrO2F, computed with PBEsol.

Structure (CIF):
```
data_TaBrO2F
_chemical_formula_sum 'Ta1 Br1 O2 F1'
_cell_length_a 3.8123
_cell_length_b 3.8123
_cell_length_c 5.0952
_cell_angle_alpha 90.00
_cell_angle_beta 90.00
_cell_angle_gamma 90.00
_space_group_name_H-M_alt 'P 4/m m m'
_space_group_IT_number 123
_space_group_name_Hall '-P 4 2'
loop_
_atom_site_label
_atom_site_fract_x
_atom_site_fract_y
_atom_site_fract_z
_atom_site_occupancy
Ta1 0.0000 0.0000 0.0000 1
Br1 0.5000 0.5000 0.5000 1
O1 0.0000 0.5000 0.5000 1
F1 0.5000 0.5000 0.0000 1
```

Results
- DOS(E_F): 1.084 states/eV per atom
- E_tot: -22.78 eV per cell

no.,formation energy without anion corrections (eV per atom)
1,-1.39
2,-1.38
3,-1.93
4,0.81